# 1
VASP calculation (GGA-PBE) on crystalline MgScHgPb at its relaxed geometry.

```
data_MgScHgPb
_chemical_formula_sum 'Mg4 Sc4 Hg4 Pb4'
_cell_length_a 7.197
_cell_length_b 7.197
_cell_length_c 7.197
_cell_angle_alpha 90.00
_cell_angle_beta 90.00
_cell_angle_gamma 90.00
_space_group_name_H-M_alt 'F -4 3 m'
_space_group_IT_number 216
_space_group_name_Hall 'F -4 2 3'
loop_
_atom_site_label
_atom_site_fract_x
_atom_site_fract_y
_atom_site_fract_z
_atom_site_occupancy
Mg1 0.000 0.000 0.000 1
Sc1 0.000 0.000 0.500 1
Hg1 0.250 0.250 0.750 1
Pb1 0.250 0.250 0.250 1
```

Values from the calculation:
The calculation puts the formation energy at -21.1 kJ/mol of atoms. The calculation puts the magnetic moment at 0.00 μB/atom. The density of states at the Fermi level comes out at 9.39 states/eV per cell.


# 2
VASP calculation (GGA-PBE) on crystalline SmMgHgPb at its relaxed geometry.

```
data_SmMgHgPb
_chemical_formula_sum 'Sm4 Mg4 Hg4 Pb4'
_cell_length_a 7.471
_cell_length_b 7.471
_cell_length_c 7.471
_cell_angle_alpha 90.00
_cell_angle_beta 90.00
_cell_angle_gamma 90.00
_space_group_name_H-M_alt 'F -4 3 m'
_space_group_IT_number 216
_space_group_name_Hall 'F -4 2 3'
loop_
_atom_site_label
_atom_site_fract_x
_atom_site_fract_y
_atom_site_fract_z
_atom_site_occupancy
Sm1 0.000 0.000 0.000 1
Mg1 0.000 0.000 0.500 1
Hg1 0.250 0.250 0.750 1
Pb1 0.250 0.250 0.250 1
```

Values from the calculation:
The calculation puts the formation energy at -31.7 kJ/mol of atoms. The calculation puts the magnetic moment at 0.00 μB/atom. The density of states at the Fermi level comes out at 10.56 states/eV per cell.


# 3
VASP calculation (GGA-PBE) on crystalline SmMgHgPb at its relaxed geometry.

```
data_SmMgHgPb
_chemical_formula_sum 'Sm1 Mg1 Hg1 Pb1'
_cell_length_a 4.362
_cell_length_b 4.760
_cell_length_c 4.990
_cell_angle_alpha 90.00
_cell_angle_beta 90.00
_cell_angle_gamma 90.00
_space_group_name_H-M_alt 'P m m m'
_space_group_IT_number 47
loop_
_space_group_symop_operation_xyz
'x,y,z'
'-x,-y,-z'
'-x,-y,z'
'x,y,-z'
'x,-y,-z'
'-x,y,z'
'-x,y,-z'
'x,-y,z'
loop_
_atom_site_label
_atom_site_fract_x
_atom_site_fract_y
_atom_site_fract_z
_atom_site_occupancy
Sm1 0.000 0.000 0.000 1
Mg1 0.000 0.500 0.500 1
Hg1 0.500 0.000 0.500 1
Pb1 0.500 0.500 0.000 1
```

Values from the calculation:
The calculation puts the formation energy at -38.5 kJ/mol of atoms. The calculation puts the magnetic moment at 0.00 μB/atom. The density of states at the Fermi level comes out at 1.55 states/eV per cell.


# 4
VASP calculation (GGA-PBE) on crystalline MgSnHgPb at its relaxed geometry.

```
data_MgSnHgPb
_chemical_formula_sum 'Mg4 Sn4 Hg4 Pb4'
_cell_length_a 7.550
_cell_length_b 7.550
_cell_length_c 7.550
_cell_angle_alpha 90.00
_cell_angle_beta 90.00
_cell_angle_gamma 90.00
_space_group_name_H-M_alt 'F -4 3 m'
_space_group_IT_number 216
_space_group_name_Hall 'F -4 2 3'
loop_
_atom_site_label
_atom_site_fract_x
_atom_site_fract_y
_atom_site_fract_z
_atom_site_occupancy
Mg1 0.000 0.000 0.000 1
Sn1 0.250 0.250 0.750 1
Hg1 0.250 0.250 0.250 1
Pb1 0.000 0.000 0.500 1
```

Values from the calculation:
The calculation puts the formation energy at -2.6 kJ/mol of atoms. The calculation puts the magnetic moment at 0.00 μB/atom. The density of states at the Fermi level comes out at 3.91 states/eV per cell.


# 5
VASP calculation (GGA-PBE) on crystalline MgSnHgPb at its relaxed geometry.

```
data_MgSnHgPb
_chemical_formula_sum 'Mg1 Sn1 Hg1 Pb1'
_cell_length_a 3.415
_cell_length_b 3.415
_cell_length_c 8.830
_cell_angle_alpha 90.00
_cell_angle_beta 90.00
_cell_angle_gamma 90.00
_space_group_name_H-M_alt 'P 4 m m'
_space_group_IT_number 99
loop_
_space_group_symop_operation_xyz
'x,y,z'
'-y,x,z'
'-x,-y,z'
'y,-x,z'
'-x,y,z'
'y,x,z'
'x,-y,z'
'-y,-x,z'
loop_
_atom_site_label
_atom_site_fract_x
_atom_site_fract_y
_atom_site_fract_z
_atom_site_occupancy
Mg1 0.000 0.000 0.000 1
Sn1 0.500 0.500 0.239 1
Hg1 0.500 0.500 0.797 1
Pb1 0.000 0.000 0.522 1
```

Values from the calculation:
The calculation puts the formation energy at -7.8 kJ/mol of atoms. The calculation puts the magnetic moment at 0.00 μB/atom. The density of states at the Fermi level comes out at 0.64 states/eV per cell.


# 6
VASP calculation (GGA-PBE) on crystalline SrMg2Hg2Pb at its relaxed geometry.

```
data_SrMg2Hg2Pb
_chemical_formula_sum 'Sr1 Mg2 Hg2 Pb1'
_cell_length_a 5.0745
_cell_length_b 5.0745
_cell_length_c 7.2865
_cell_angle_alpha 90.00
_cell_angle_beta 90.00
_cell_angle_gamma 120.00
_space_group_name_H-M_alt 'P -3 m 1'
_space_group_IT_number 164
_space_group_name_Hall '-P 3 2"'
loop_
_atom_site_label
_atom_site_fract_x
_atom_site_fract_y
_atom_site_fract_z
_atom_site_occupancy
Sr1 0.0000 0.0000 0.0000 1
Mg1 0.3333 0.6667 0.6758 1
Hg1 0.3333 0.6667 0.2260 1
Pb1 0.0000 0.0000 0.5000 1
```

Values from the calculation:
The calculation puts the formation energy at -30.7 kJ/mol of atoms. The calculation puts the magnetic moment at 0.00 μB/atom. The density of states at the Fermi level comes out at 2.71 states/eV per cell.